Arrangement 1

Density functional theory data (PBE) for ReRu2AuF after structural relaxation.

Cell lengths 4.9854, 4.9854, 5.0728 Å; angles 90.00, 90.00, 90.00 degrees
Space group P4/mmm (No. 123)
Asymmetric unit:
Re  0.0000  0.0000  0.0000
Ru  0.0000  0.5000  0.5000
Au  0.0000  0.0000  0.5000
F  0.5000  0.5000  0.0000

## Properties
Magnetic moment (μB per cell): 8.94
Crystal system: tetragonal
DOS at the Fermi energy (states/eV/atom): 1.010

---

Arrangement 2

Density functional theory data (PBE) for ReRu2AuF after structural relaxation.

Cell lengths 4.3016, 4.3016, 4.0229 Å; angles 90.00, 90.00, 90.00 degrees
Space group P4/mmm (No. 123)
Asymmetric unit:
Re  0.0000  0.0000  0.0000
Ru  0.0000  0.5000  0.5000
Au  0.5000  0.5000  0.0000
F  0.0000  0.0000  0.5000

## Properties
Magnetic moment (μB per cell): 1.55
Crystal system: tetragonal
DOS at the Fermi energy (states/eV/atom): 1.406

---

Energetically preferred structure: arrangement 2 | next structure: +116.4 kJ/mol of atoms

---

Arrangement 1

Density functional theory data (PBE) for RhAuF3 after structural relaxation.

Cell lengths 4.1865, 4.1865, 4.1865 Å; angles 90.00, 90.00, 90.00 degrees
Space group Pm-3m (No. 221)
Asymmetric unit:
Rh  0.0000  0.0000  0.0000
Au  0.5000  0.5000  0.5000
F  0.0000  0.0000  0.5000

## Properties
Magnetic moment (μB per cell): 0.49
Crystal system: cubic
DOS at the Fermi energy (states/eV/atom): 0.448

---

Arrangement 2

Density functional theory data (PBE) for RhAuF3 after structural relaxation.

Cell lengths 4.4091, 4.4091, 4.4091 Å; angles 90.00, 90.00, 90.00 degrees
Space group Pm-3m (No. 221)
Asymmetric unit:
Rh  0.0000  0.0000  0.0000
Au  0.5000  0.5000  0.5000
F  0.0000  0.5000  0.5000

## Properties
Magnetic moment (μB per cell): 2.08
Crystal system: cubic
DOS at the Fermi energy (states/eV/atom): 3.703

---

Energetically preferred structure: arrangement 1 | next structure: +49.3 kJ/mol of atoms

---

Arrangement 1

Density functional theory data (PBE) for Rh3AuF after structural relaxation.

Cell lengths 4.9586, 4.9586, 4.9586 Å; angles 90.00, 90.00, 90.00 degrees
Space group Pm-3m (No. 221)
Asymmetric unit:
Rh  0.0000  0.0000  0.5000
Au  0.0000  0.0000  0.0000
F  0.5000  0.5000  0.5000

## Properties
Magnetic moment (μB per cell): 4.01
Crystal system: cubic
DOS at the Fermi energy (states/eV/atom): 2.966

---

Arrangement 2

Density functional theory data (PBE) for Rh3AuF after structural relaxation.

Cell lengths 4.2835, 4.2835, 4.2835 Å; angles 90.00, 90.00, 90.00 degrees
Space group Pm-3m (No. 221)
Asymmetric unit:
Rh  0.0000  0.0000  0.5000
Au  0.5000  0.5000  0.5000
F  0.0000  0.0000  0.0000

## Properties
Magnetic moment (μB per cell): 3.74
Crystal system: cubic
DOS at the Fermi energy (states/eV/atom): 1.593

---

Energetically preferred structure: arrangement 2 | next structure: +91.5 kJ/mol of atoms